This record from the Alexandria database describes crystalline ErTmAs at its relaxed geometry. The functional is PBE-GGA.

a b c (Å): 3.6261 3.6261 6.2660
angles (deg): 106.82 106.82 90.00
Sites, in units of the cell vectors:
1 As 0.9491 0.9491 0.8982
2 Tm 0.3090 0.3090 0.6180
3 Er 0.5919 0.5919 0.1838

Output
* formation enthalpy at 0 K: -16.81 kcal/mol of atoms
* energy above the lowest structure with this stoichiometry: 10.24 kJ/mol of atoms
* E: -5.29 eV per atom